The following is a PBE calculation of CaSm3Ir8 after structural relaxation, from the Alexandria database.

Geometry as POSCAR:
```
CaSm3Ir8
1.0
2.700 1.559 8.822
-2.700 1.559 8.822
0.000 -3.117 8.822
Ca Sm Ir
1 3 8
direct
0.000 0.000 0.000
0.124 0.124 0.124
0.501 0.501 0.501
0.627 0.627 0.627
0.063 0.063 0.562
0.063 0.562 0.063
0.064 0.563 0.563
0.313 0.313 0.313
0.562 0.063 0.063
0.563 0.064 0.563
0.563 0.563 0.064
0.813 0.813 0.813
```

ΔH_f (0 K) in meV per atom: -679


The following is a PBE calculation of CaSmIr2 after structural relaxation, from the Alexandria database.

Geometry as POSCAR:
```
CaSmIr2
1.0
3.481 0.000 0.000
0.000 3.481 0.000
0.000 0.000 6.862
Ca Sm Ir
1 1 2
direct
0.000 0.000 0.000
0.000 0.000 0.500
0.500 0.500 0.257
0.500 0.500 0.743
```

ΔH_f (0 K) in meV per atom: -394
Distance to the lowest polymorph of the same formula in eV per formula unit: 0.01


| no. | spin magnetization (μB/atom) |
| --- | --- |
| 1 | 0.000 |
| 2 | 0.000 |